{
  "formula": "Zr2TaFe",
  "functional": "PBEsol",
  "state": "optimized geometry",
  "cell": [[3.095, 0.000, 0.000], [0.000, 3.095, 0.000], [0.000, 0.000, 7.376]],
  "species": ["Zr", "Zr", "Ta", "Fe"],
  "fractional_positions": [[0.000, 0.000, 0.000], [0.500, 0.500, 0.307], [0.500, 0.500, 0.722], [0.000, 0.000, 0.539]],
  "formation_energy_mev_per_atom": -51,
  "energy_ev_per_atom": -9.975
}

{
  "formula": "Tb2Fe17",
  "functional": "PBEsol",
  "state": "optimized geometry",
  "cell": [[4.098, 2.366, 4.028], [-4.098, 2.366, 4.028], [0.000, -4.732, 4.028]],
  "species": ["Tb", "Tb", "Fe", "Fe", "Fe", "Fe", "Fe", "Fe", "Fe", "Fe", "Fe", "Fe", "Fe", "Fe", "Fe", "Fe", "Fe", "Fe", "Fe"],
  "fractional_positions": [[0.159, 0.159, 0.159], [0.841, 0.841, 0.841], [0.000, 0.500, 0.500], [0.160, 0.160, 0.660], [0.160, 0.660, 0.160], [0.205, 0.500, 0.795], [0.205, 0.795, 0.500], [0.340, 0.840, 0.840], [0.405, 0.405, 0.405], [0.500, 0.000, 0.500], [0.500, 0.205, 0.795], [0.500, 0.500, 0.000], [0.500, 0.795, 0.205], [0.595, 0.595, 0.595], [0.660, 0.160, 0.160], [0.795, 0.205, 0.500], [0.795, 0.500, 0.205], [0.840, 0.340, 0.840], [0.840, 0.840, 0.340]],
  "formation_energy_mev_per_atom": 23,
  "energy_ev_per_atom": -8.524
}

{
  "formula": "Tb2Fe17",
  "functional": "PBEsol",
  "state": "optimized geometry",
  "cell": [[8.183, 0.000, 0.000], [-4.092, 7.087, 0.000], [0.000, 0.000, 8.047]],
  "species": ["Tb", "Tb", "Tb", "Tb", "Fe", "Fe", "Fe", "Fe", "Fe", "Fe", "Fe", "Fe", "Fe", "Fe", "Fe", "Fe", "Fe", "Fe", "Fe", "Fe", "Fe", "Fe", "Fe", "Fe", "Fe", "Fe", "Fe", "Fe", "Fe", "Fe", "Fe", "Fe", "Fe", "Fe", "Fe", "Fe", "Fe", "Fe"],
  "fractional_positions": [[0.000, 0.000, 0.250], [0.000, 0.000, 0.750], [0.333, 0.667, 0.250], [0.667, 0.333, 0.750], [0.000, 0.500, 0.000], [0.000, 0.500, 0.500], [0.042, 0.371, 0.750], [0.042, 0.671, 0.750], [0.165, 0.331, 0.011], [0.165, 0.331, 0.489], [0.165, 0.835, 0.011], [0.165, 0.835, 0.489], [0.329, 0.371, 0.750], [0.329, 0.958, 0.750], [0.331, 0.165, 0.511], [0.331, 0.165, 0.989], [0.333, 0.667, 0.609], [0.333, 0.667, 0.891], [0.371, 0.042, 0.250], [0.371, 0.329, 0.250], [0.500, 0.000, 0.000], [0.500, 0.000, 0.500], [0.500, 0.500, 0.000], [0.500, 0.500, 0.500], [0.629, 0.671, 0.750], [0.629, 0.958, 0.750], [0.667, 0.333, 0.109], [0.667, 0.333, 0.391], [0.669, 0.835, 0.011], [0.669, 0.835, 0.489], [0.671, 0.042, 0.250], [0.671, 0.629, 0.250], [0.835, 0.165, 0.511], [0.835, 0.165, 0.989], [0.835, 0.669, 0.511], [0.835, 0.669, 0.989], [0.958, 0.329, 0.250], [0.958, 0.629, 0.250]],
  "formation_energy_mev_per_atom": 23,
  "energy_ev_per_atom": -8.525
}

{
  "formula": "TbFe2",
  "functional": "PBEsol",
  "state": "optimized geometry",
  "cell": [[5.052, 0.000, 0.000], [-2.526, 4.375, 0.000], [0.000, 0.000, 8.147]],
  "species": ["Tb", "Tb", "Tb", "Tb", "Fe", "Fe", "Fe", "Fe", "Fe", "Fe", "Fe", "Fe"],
  "fractional_positions": [[0.333, 0.667, 0.062], [0.333, 0.667, 0.438], [0.667, 0.333, 0.562], [0.667, 0.333, 0.938], [0.000, 0.000, 0.000], [0.000, 0.000, 0.500], [0.164, 0.329, 0.750], [0.164, 0.836, 0.750], [0.329, 0.164, 0.250], [0.671, 0.836, 0.750], [0.836, 0.164, 0.250], [0.836, 0.671, 0.250]],
  "formation_energy_mev_per_atom": -34,
  "energy_ev_per_atom": -7.680
}

{
  "formula": "TbZn20Fe2",
  "functional": "PBEsol",
  "state": "optimized geometry",
  "cell": [[0.000, 6.885, 6.885], [6.885, 0.000, 6.885], [6.885, 6.885, 0.000]],
  "species": ["Tb", "Tb", "Zn", "Zn", "Zn", "Zn", "Zn", "Zn", "Zn", "Zn", "Zn", "Zn", "Zn", "Zn", "Zn", "Zn", "Zn", "Zn", "Zn", "Zn", "Zn", "Zn", "Zn", "Zn", "Zn", "Zn", "Zn", "Zn", "Zn", "Zn", "Zn", "Zn", "Zn", "Zn", "Zn", "Zn", "Zn", "Zn", "Zn", "Zn", "Zn", "Zn", "Fe", "Fe", "Fe", "Fe"],
  "fractional_positions": [[0.125, 0.125, 0.125], [0.875, 0.875, 0.875], [0.000, 0.000, 0.000], [0.000, 0.000, 0.500], [0.000, 0.500, 0.000], [0.056, 0.327, 0.327], [0.056, 0.327, 0.790], [0.056, 0.790, 0.327], [0.210, 0.673, 0.673], [0.210, 0.673, 0.944], [0.210, 0.944, 0.673], [0.239, 0.239, 0.511], [0.239, 0.511, 0.239], [0.239, 0.511, 0.511], [0.327, 0.056, 0.327], [0.327, 0.056, 0.790], [0.327, 0.327, 0.056], [0.327, 0.327, 0.790], [0.327, 0.790, 0.056], [0.327, 0.790, 0.327], [0.489, 0.489, 0.761], [0.489, 0.761, 0.489], [0.489, 0.761, 0.761], [0.500, 0.000, 0.000], [0.511, 0.239, 0.239], [0.511, 0.239, 0.511], [0.511, 0.511, 0.239], [0.673, 0.210, 0.673], [0.673, 0.210, 0.944], [0.673, 0.673, 0.210], [0.673, 0.673, 0.944], [0.673, 0.944, 0.210], [0.673, 0.944, 0.673], [0.761, 0.489, 0.489], [0.761, 0.489, 0.761], [0.761, 0.761, 0.489], [0.790, 0.056, 0.327], [0.790, 0.327, 0.056], [0.790, 0.327, 0.327], [0.944, 0.210, 0.673], [0.944, 0.673, 0.210], [0.944, 0.673, 0.673], [0.000, 0.500, 0.500], [0.500, 0.000, 0.500], [0.500, 0.500, 0.000], [0.500, 0.500, 0.500]],
  "formation_energy_mev_per_atom": -145,
  "energy_ev_per_atom": -2.518
}

{
  "formula": "FeTc8",
  "functional": "PBEsol",
  "state": "optimized geometry",
  "cell": [[-4.017, 4.017, 1.892], [4.017, -4.017, 1.892], [4.017, 4.017, -1.892]],
  "species": ["Fe", "Tc", "Tc", "Tc", "Tc", "Tc", "Tc", "Tc", "Tc"],
  "fractional_positions": [[0.000, 0.000, 0.000], [0.000, 0.326, 0.326], [0.000, 0.674, 0.674], [0.326, 0.000, 0.326], [0.339, 0.339, 0.677], [0.339, 0.661, 0.000], [0.661, 0.339, 0.000], [0.661, 0.661, 0.323], [0.674, 0.000, 0.674]],
  "formation_energy_mev_per_atom": 83,
  "energy_ev_per_atom": -10.928
}

{
  "formula": "Fe24Tc5",
  "functional": "PBEsol",
  "state": "optimized geometry",
  "cell": [[-4.280, 4.280, 4.280], [4.280, -4.280, 4.280], [4.280, 4.280, -4.280]],
  "species": ["Fe", "Fe", "Fe", "Fe", "Fe", "Fe", "Fe", "Fe", "Fe", "Fe", "Fe", "Fe", "Fe", "Fe", "Fe", "Fe", "Fe", "Fe", "Fe", "Fe", "Fe", "Fe", "Fe", "Fe", "Tc", "Tc", "Tc", "Tc", "Tc"],
  "fractional_positions": [[0.000, 0.322, 0.607], [0.000, 0.607, 0.322], [0.000, 0.629, 0.811], [0.000, 0.811, 0.629], [0.182, 0.371, 0.371], [0.189, 0.189, 0.818], [0.189, 0.818, 0.189], [0.285, 0.678, 0.678], [0.322, 0.000, 0.607], [0.322, 0.607, 0.000], [0.371, 0.182, 0.371], [0.371, 0.371, 0.182], [0.393, 0.393, 0.715], [0.393, 0.715, 0.393], [0.607, 0.000, 0.322], [0.607, 0.322, 0.000], [0.629, 0.000, 0.811], [0.629, 0.811, 0.000], [0.678, 0.285, 0.678], [0.678, 0.678, 0.285], [0.715, 0.393, 0.393], [0.811, 0.000, 0.629], [0.811, 0.629, 0.000], [0.818, 0.189, 0.189], [0.000, 0.000, 0.000], [0.000, 0.000, 0.364], [0.000, 0.364, 0.000], [0.364, 0.000, 0.000], [0.636, 0.636, 0.636]],
  "formation_energy_mev_per_atom": 58,
  "energy_ev_per_atom": -9.302
}

{
  "formula": "FeTc3",
  "functional": "PBEsol",
  "state": "optimized geometry",
  "cell": [[2.670, 0.000, 0.000], [0.000, 4.228, 0.000], [0.000, 0.000, 4.605]],
  "species": ["Fe", "Tc", "Tc", "Tc"],
  "fractional_positions": [[0.000, 0.000, 0.000], [0.000, 0.500, 0.333], [0.500, 0.000, 0.509], [0.500, 0.500, 0.846]],
  "formation_energy_mev_per_atom": 29,
  "energy_ev_per_atom": -10.661
}

{
  "formula": "FeTc3",
  "functional": "PBEsol",
  "state": "optimized geometry",
  "cell": [[5.983, 0.000, 0.000], [0.000, 5.983, 0.000], [0.000, 0.000, 5.983]],
  "species": ["Fe", "Fe", "Fe", "Fe", "Tc", "Tc", "Tc", "Tc", "Tc", "Tc", "Tc", "Tc", "Tc", "Tc", "Tc", "Tc"],
  "fractional_positions": [[0.000, 0.000, 0.000], [0.000, 0.500, 0.500], [0.500, 0.000, 0.500], [0.500, 0.500, 0.000], [0.000, 0.000, 0.500], [0.000, 0.500, 0.000], [0.250, 0.250, 0.250], [0.250, 0.250, 0.750], [0.250, 0.750, 0.250], [0.250, 0.750, 0.750], [0.500, 0.000, 0.000], [0.500, 0.500, 0.500], [0.750, 0.250, 0.250], [0.750, 0.250, 0.750], [0.750, 0.750, 0.250], [0.750, 0.750, 0.750]],
  "formation_energy_mev_per_atom": 206,
  "energy_ev_per_atom": -10.484
}

{
  "formula": "Fe3Tc",
  "functional": "PBEsol",
  "state": "optimized geometry",
  "cell": [[2.873, 0.000, 0.000], [0.000, 4.042, 0.000], [0.000, 0.000, 8.014]],
  "species": ["Fe", "Fe", "Fe", "Fe", "Fe", "Fe", "Tc", "Tc"],
  "fractional_positions": [[0.000, 0.000, 0.000], [0.000, 0.500, 0.256], [0.000, 0.500, 0.744], [0.500, 0.000, 0.244], [0.500, 0.000, 0.756], [0.500, 0.500, 0.500], [0.000, 0.000, 0.500], [0.500, 0.500, 0.000]],
  "formation_energy_mev_per_atom": 103,
  "energy_ev_per_atom": -9.436
}

{
  "formula": "FeTc3",
  "functional": "PBEsol",
  "state": "optimized geometry",
  "cell": [[2.676, 0.000, 0.000], [-1.338, 2.317, 0.000], [0.000, 0.000, 8.392]],
  "species": ["Fe", "Tc", "Tc", "Tc"],
  "fractional_positions": [[0.000, 0.000, 0.000], [0.000, 0.000, 0.500], [0.667, 0.333, 0.238], [0.667, 0.333, 0.762]],
  "formation_energy_mev_per_atom": 60,
  "energy_ev_per_atom": -10.630
}

{
  "formula": "FeTc3",
  "functional": "PBEsol",
  "state": "optimized geometry",
  "cell": [[3.742, 0.000, 0.000], [0.000, 3.742, 0.000], [0.000, 0.000, 3.742]],
  "species": ["Fe", "Tc", "Tc", "Tc"],
  "fractional_positions": [[0.000, 0.000, 0.000], [0.000, 0.500, 0.500], [0.500, 0.000, 0.500], [0.500, 0.500, 0.000]],
  "formation_energy_mev_per_atom": 68,
  "energy_ev_per_atom": -10.622
}

{
  "formula": "Fe3Tc5",
  "functional": "PBEsol",
  "state": "optimized geometry",
  "cell": [[7.341, 0.000, 0.000], [0.000, 7.407, 0.000], [0.000, 0.000, 3.715]],
  "species": ["Fe", "Fe", "Fe", "Fe", "Fe", "Fe", "Tc", "Tc", "Tc", "Tc", "Tc", "Tc", "Tc", "Tc", "Tc", "Tc"],
  "fractional_positions": [[0.000, 0.000, 0.000], [0.000, 0.247, 0.500], [0.000, 0.753, 0.500], [0.500, 0.253, 0.500], [0.500, 0.500, 0.000], [0.500, 0.747, 0.500], [0.000, 0.500, 0.000], [0.239, 0.000, 0.500], [0.250, 0.250, 0.000], [0.250, 0.750, 0.000], [0.261, 0.500, 0.500], [0.500, 0.000, 0.000], [0.739, 0.500, 0.500], [0.750, 0.250, 0.000], [0.750, 0.750, 0.000], [0.761, 0.000, 0.500]],
  "formation_energy_mev_per_atom": 72,
  "energy_ev_per_atom": -10.331
}

{
  "formula": "Fe3Tc",
  "functional": "PBEsol",
  "state": "optimized geometry",
  "cell": [[2.480, 0.000, 0.000], [0.000, 4.052, 0.000], [-0.847, 0.000, 4.685]],
  "species": ["Fe", "Fe", "Fe", "Tc"],
  "fractional_positions": [[0.000, 0.000, 0.000], [0.236, 0.500, 0.756], [0.764, 0.500, 0.244], [0.500, 0.000, 0.500]],
  "formation_energy_mev_per_atom": 94,
  "energy_ev_per_atom": -9.445
}

{
  "formula": "FeTc3",
  "functional": "PBEsol",
  "state": "optimized geometry",
  "cell": [[8.470, 0.000, 0.000], [-4.235, 7.335, 0.000], [0.000, 0.000, 2.591]],
  "species": ["Fe", "Fe", "Fe", "Tc", "Tc", "Tc", "Tc", "Tc", "Tc", "Tc", "Tc", "Tc"],
  "fractional_positions": [[0.000, 0.000, 0.000], [0.333, 0.667, 0.667], [0.667, 0.333, 0.333], [0.000, 0.500, 0.000], [0.167, 0.333, 0.333], [0.167, 0.833, 0.333], [0.333, 0.167, 0.667], [0.500, 0.000, 0.000], [0.500, 0.500, 0.000], [0.667, 0.833, 0.333], [0.833, 0.167, 0.667], [0.833, 0.667, 0.667]],
  "formation_energy_mev_per_atom": 232,
  "energy_ev_per_atom": -10.458
}

{
  "formula": "FeTc3",
  "functional": "PBEsol",
  "state": "optimized geometry",
  "cell": [[2.648, 0.000, 0.000], [0.000, 2.648, 0.000], [0.000, 0.000, 7.397]],
  "species": ["Fe", "Tc", "Tc", "Tc"],
  "fractional_positions": [[0.000, 0.000, 0.000], [0.000, 0.000, 0.500], [0.500, 0.500, 0.232], [0.500, 0.500, 0.768]],
  "formation_energy_mev_per_atom": 90,
  "energy_ev_per_atom": -10.601
}

{
  "formula": "FeTc3",
  "functional": "PBEsol",
  "state": "optimized geometry",
  "cell": [[2.660, 0.000, 0.000], [0.000, 8.476, 0.000], [0.000, 0.000, 4.603]],
  "species": ["Fe", "Fe", "Tc", "Tc", "Tc", "Tc", "Tc", "Tc"],
  "fractional_positions": [[0.000, 0.000, 0.000], [0.500, 0.500, 0.500], [0.000, 0.258, 0.663], [0.000, 0.500, 0.003], [0.000, 0.742, 0.663], [0.500, 0.000, 0.503], [0.500, 0.242, 0.163], [0.500, 0.758, 0.163]],
  "formation_energy_mev_per_atom": 29,
  "energy_ev_per_atom": -10.661
}

{
  "formula": "Fe3Tc",
  "functional": "PBEsol",
  "state": "optimized geometry",
  "cell": [[8.106, 0.000, 0.000], [-4.053, 7.020, 0.000], [0.000, 0.000, 2.491]],
  "species": ["Fe", "Fe", "Fe", "Fe", "Fe", "Fe", "Fe", "Fe", "Fe", "Tc", "Tc", "Tc"],
  "fractional_positions": [[0.000, 0.500, 0.000], [0.167, 0.333, 0.333], [0.167, 0.833, 0.333], [0.333, 0.167, 0.667], [0.500, 0.000, 0.000], [0.500, 0.500, 0.000], [0.667, 0.833, 0.333], [0.833, 0.167, 0.667], [0.833, 0.667, 0.667], [0.000, 0.000, 0.000], [0.333, 0.667, 0.667], [0.667, 0.333, 0.333]],
  "formation_energy_mev_per_atom": 123,
  "energy_ev_per_atom": -9.417
}

{
  "formula": "FeTc2",
  "functional": "PBEsol",
  "state": "optimized geometry",
  "cell": [[5.773, 0.000, 0.000], [0.000, 5.773, 0.000], [0.000, 0.000, 4.591]],
  "species": ["Fe", "Fe", "Fe", "Fe", "Tc", "Tc", "Tc", "Tc", "Tc", "Tc", "Tc", "Tc"],
  "fractional_positions": [[0.000, 0.000, 0.250], [0.000, 0.000, 0.750], [0.500, 0.500, 0.250], [0.500, 0.500, 0.750], [0.150, 0.350, 0.000], [0.150, 0.650, 0.500], [0.350, 0.150, 0.500], [0.350, 0.850, 0.000], [0.650, 0.150, 0.000], [0.650, 0.850, 0.500], [0.850, 0.350, 0.500], [0.850, 0.650, 0.000]],
  "formation_energy_mev_per_atom": -26,
  "energy_ev_per_atom": -10.525
}

{
  "formula": "FeTc2",
  "functional": "PBEsol",
  "state": "optimized geometry",
  "cell": [[9.553, 0.000, 0.000], [0.000, 2.646, 0.000], [-1.457, 0.000, 6.011]],
  "species": ["Fe", "Fe", "Fe", "Fe", "Tc", "Tc", "Tc", "Tc", "Tc", "Tc", "Tc", "Tc"],
  "fractional_positions": [[0.000, 0.000, 0.000], [0.162, 0.500, 0.326], [0.500, 0.500, 0.000], [0.662, 0.000, 0.326], [0.059, 0.000, 0.602], [0.212, 0.500, 0.951], [0.332, 0.000, 0.662], [0.389, 0.000, 0.268], [0.559, 0.500, 0.602], [0.712, 0.000, 0.951], [0.832, 0.500, 0.662], [0.889, 0.500, 0.268]],
  "formation_energy_mev_per_atom": 41,
  "energy_ev_per_atom": -10.457
}

no.,total magnetization (μB/cell)
1,0.607
2,29.923
3,58.105
4,11.821
5,0.592
6,0.248
7,21.577
8,0.001
9,10.677
10,12.303
11,0.003
12,1.088
13,1.507
14,6.734
15,6.649
16,0.368
17,0.000
18,20.486
19,0.001
20,0.000